Ni2SClF, relaxed, DFT PBE with a Hubbard U; D(E_F) = 2.51 states/eV/cell; total energy = -2.513 eV/atom; crystal system = tetragonal
1.0
4.4152 0.0000 0.0000
0.0000 4.4152 0.0000
0.0000 0.0000 4.6189
Ni S Cl F
2 1 1 1
direct
0.0000 0.5000 0.0000 Ni
0.5000 0.0000 0.0000 Ni
0.0000 0.0000 0.0000 S
0.0000 0.0000 0.5000 Cl
0.5000 0.5000 0.5000 F